Record 1
Computed, not measured: a relaxed K3Ho2InSe6 crystal at the PBE-GGA level of DFT.

Lattice parameters (Å, degrees): 7.227 7.227 8.069 98.58 98.58 120.00
Atoms (fractional coordinates):
K  0.167  0.833  0.500
K  0.833  0.167  0.500
K  0.500  0.500  0.500
Ho  0.333  0.667  0.000
Ho  0.667  0.333  0.000
In  0.000  0.000  0.000
Se  0.932  0.604  0.797
Se  0.739  0.739  0.203
Se  0.068  0.396  0.203
Se  0.604  0.932  0.797
Se  0.261  0.261  0.797
Se  0.396  0.068  0.203

Calculated values
E_form (uncorrected), meV per atom: -1437

---

Record 2
Computed, not measured: a relaxed K3Ho3InSe8 crystal at the PBE-GGA level of DFT.

Lattice parameters (Å, degrees): 8.202 8.214 9.223 116.50 90.00 119.97
Atoms (fractional coordinates):
K  0.000  0.000  0.000
K  0.000  0.500  0.000
K  0.500  0.500  0.000
Ho  0.500  0.000  0.500
Ho  0.500  0.500  0.500
Ho  0.000  0.500  0.500
In  0.000  0.000  0.500
Se  0.265  0.530  0.295
Se  0.735  0.470  0.705
Se  0.768  0.535  0.299
Se  0.232  0.465  0.701
Se  0.768  0.031  0.299
Se  0.232  0.969  0.701
Se  0.263  0.031  0.299
Se  0.737  0.969  0.701

Calculated values
E_form (uncorrected), meV per atom: -1429
DOS(E_F), states/eV/f.u.: 9.28

---

Record 3
Computed, not measured: a relaxed K3Ho3InTe8 crystal at the PBE-GGA level of DFT.

Lattice parameters (Å, degrees): 8.729 8.747 9.909 116.29 90.00 119.93
Atoms (fractional coordinates):
K  0.000  0.000  0.000
K  0.000  0.500  0.000
K  0.500  0.500  0.000
Ho  0.500  0.000  0.500
Ho  0.500  0.500  0.500
Ho  0.000  0.500  0.500
In  0.000  0.000  0.500
Te  0.264  0.528  0.291
Te  0.736  0.472  0.709
Te  0.765  0.530  0.295
Te  0.235  0.470  0.705
Te  0.765  0.030  0.295
Te  0.235  0.970  0.705
Te  0.265  0.030  0.295
Te  0.735  0.970  0.705

Calculated values
E_form (uncorrected), meV per atom: -1098
DOS(E_F), states/eV/f.u.: 6.32

---

Record 4
Computed, not measured: a relaxed K3Ho2InTe6 crystal at the PBE-GGA level of DFT.

Lattice parameters (Å, degrees): 7.745 7.745 8.651 98.59 98.59 119.99
Atoms (fractional coordinates):
K  0.168  0.832  0.500
K  0.832  0.168  0.500
K  0.500  0.500  0.500
Ho  0.334  0.666  0.000
Ho  0.666  0.334  0.000
In  0.000  0.000  0.000
Te  0.932  0.603  0.795
Te  0.740  0.740  0.206
Te  0.068  0.397  0.205
Te  0.603  0.932  0.795
Te  0.260  0.260  0.794
Te  0.397  0.068  0.205

Calculated values
E_form (uncorrected), meV per atom: -1109

---

Record 5
Computed, not measured: a relaxed K2HoInTe4 crystal at the PBE-GGA level of DFT.

Lattice parameters (Å, degrees): 7.524 7.267 7.267 74.45 58.82 58.82
Atoms (fractional coordinates):
K  0.000  0.500  0.500
K  0.500  0.500  0.500
Ho  0.000  0.000  0.000
In  0.500  0.000  0.000
Te  0.083  0.358  0.000
Te  0.917  0.000  0.642
Te  0.559  0.000  0.358
Te  0.441  0.642  0.000

Calculated values
E_form (uncorrected), meV per atom: -957
DOS(E_F), states/eV/f.u.: 0.00

---

Record 6
Computed, not measured: a relaxed La2HoIn crystal at the PBE-GGA level of DFT.

Lattice parameters (Å, degrees): 5.767 6.193 6.888 89.99 90.00 90.00
Atoms (fractional coordinates):
La  0.750  0.136  0.005
La  0.250  0.864  0.995
La  0.750  0.136  0.495
La  0.250  0.864  0.505
Ho  0.750  0.624  0.250
Ho  0.250  0.376  0.750
In  0.750  0.650  0.750
In  0.250  0.350  0.250

Calculated values
Energy relative to the elements, eV/f.u.: -1.070
DOS(E_F), states/eV/f.u.: 3.63
Excess energy over the best structure of this formula in the dataset, meV/atom: 6

---

Record 7
Computed, not measured: a relaxed La8HoIn2 crystal at the PBE-GGA level of DFT.

Lattice parameters (Å, degrees): 5.823 8.862 8.862 60.90 80.87 80.87
Atoms (fractional coordinates):
La  0.266  0.162  0.523
La  0.266  0.523  0.162
La  0.734  0.838  0.477
La  0.240  0.553  0.553
La  0.734  0.477  0.838
La  0.402  0.114  0.114
La  0.598  0.886  0.886
La  0.760  0.447  0.447
Ho  0.000  0.000  0.000
In  0.843  0.234  0.234
In  0.157  0.766  0.766

Calculated values
Energy relative to the elements, eV/f.u.: 0.333
DOS(E_F), states/eV/f.u.: 13.98
Excess energy over the best structure of this formula in the dataset, meV/atom: 169

---

Record 8
Computed, not measured: a relaxed La2Ho3In crystal at the PBE-GGA level of DFT.

Lattice parameters (Å, degrees): 6.339 6.969 9.326 90.01 109.87 90.00
Atoms (fractional coordinates):
La  0.717  0.750  0.364
La  0.647  0.250  0.364
La  0.353  0.750  0.636
La  0.283  0.250  0.636
Ho  0.678  0.250  0.000
Ho  0.322  0.750  0.000
Ho  0.134  0.000  0.269
Ho  0.865  0.500  0.731
Ho  0.135  0.500  0.269
Ho  0.866  0.000  0.731
In  0.807  0.750  0.000
In  0.193  0.250  0.000

Calculated values
Energy relative to the elements, eV/f.u.: -0.579
DOS(E_F), states/eV/f.u.: 8.15
Excess energy over the best structure of this formula in the dataset, meV/atom: 34

---

Record 9
Computed, not measured: a relaxed La5Ho2In4 crystal at the PBE-GGA level of DFT.

Lattice parameters (Å, degrees): 3.437 8.956 10.935 84.90 90.00 90.00
Each line ends with the local moment (μB).
Atoms (fractional coordinates):
La  0.000  0.457  0.338  -0.08
La  0.000  0.845  0.139  0.01
La  0.000  0.500  0.000  0.00
La  0.000  0.155  0.861  0.01
La  0.000  0.543  0.662  -0.08
Ho  0.000  0.925  0.638  0.00
Ho  0.000  0.075  0.362  0.00
In  0.500  0.238  0.574  0.00
In  0.500  0.801  0.870  0.00
In  0.500  0.762  0.426  0.00
In  0.500  0.199  0.130  0.00

Calculated values
Energy relative to the elements, eV/f.u.: -3.556
DOS(E_F), states/eV/f.u.: 13.55

---

Record 10
Computed, not measured: a relaxed La5HoIn4 crystal at the PBE-GGA level of DFT.

Lattice parameters (Å, degrees): 3.706 3.706 22.978 90.00 90.00 90.00
Atoms (fractional coordinates):
La  0.500  0.500  0.112
La  0.500  0.500  0.305
La  0.500  0.500  0.500
La  0.500  0.500  0.695
La  0.500  0.500  0.888
Ho  0.000  0.000  0.000
In  0.000  0.000  0.208
In  0.000  0.000  0.403
In  0.000  0.000  0.597
In  0.000  0.000  0.792

Calculated values
Energy relative to the elements, eV/f.u.: -3.808
DOS(E_F), states/eV/f.u.: 12.64

---

E_tot across the listed records, respectively: -4.445; -4.605; -4.091; -3.945; -3.717; -4.560; -4.467; -4.484; -4.391; -4.398 eV/atom.